Entry 1:
# HoErTlN

A geometry-optimized HoErTlN structure (PBE, the Open Quantum Materials Database).

a b c (Å): 3.5037 3.5037 15.6345
angles (deg): 90.00 90.00 120.00
Closest atoms and distances in Å follow each position.
Sites, in units of the cell vectors:
Ho 0.3333 0.6667 0.4158  3 N 2.41
Tl 0.6667 0.3333 0.2493  3 Er 3.29, 3 Ho 3.30, 6 Tl 3.50
Er 0.3333 0.6667 0.0836  3 N 2.41
N 0.0000 0.0000 0.5000  6 Ho 2.41
Er 0.6667 0.3333 0.9164  3 N 2.41
N 0.0000 0.0000 0.0000  6 Er 2.41
Tl 0.3333 0.6667 0.7507  3 Er 3.29, 3 Ho 3.30, 6 Tl 3.50
Ho 0.6667 0.3333 0.5842  3 N 2.41

**Crystal system**: trigonal
**VASP energy**: -47.8 eV/cell

=====

Entry 2:
# RbSmTeO

A geometry-optimized RbSmTeO structure (PBE, the Open Quantum Materials Database).

a b c (Å): 4.3781 4.3781 10.8922
angles (deg): 90.00 90.00 90.00
Closest atoms and distances in Å follow each position.
Sites, in units of the cell vectors:
Rb 0.7500 0.2500 0.5000  4 Rb 3.10, 4 Te 3.43
O 0.7500 0.2500 0.0000  4 Sm 2.39
Te 0.2500 0.2500 0.7420  4 Rb 3.43, 4 O 3.56, 5 Sm 3.61-3.76
Te 0.7500 0.7500 0.2580  4 Rb 3.43, 4 O 3.56, 5 Sm 3.61-3.76
Rb 0.2500 0.7500 0.5000  4 Rb 3.10, 4 Te 3.43
Sm 0.2500 0.2500 0.0872  4 O 2.39
O 0.2500 0.7500 0.0000  4 Sm 2.39
Sm 0.7500 0.7500 0.9128  4 O 2.39

**Crystal system**: tetragonal
**Energy relative to the lowest polymorph listed for this composition**: 259 meV/atom
**VASP energy**: -42.2 eV/cell

=====

Entry 3:
# Tm2Tc2O5

A geometry-optimized Tm2Tc2O5 structure (PBE, the Open Quantum Materials Database).

a b c (Å): 9.2307 3.5558 3.5558
angles (deg): 90.00 90.00 90.00
Closest atoms and distances in Å follow each position.
Sites, in units of the cell vectors:
Tm 0.2580 0.5000 0.5000  5 O 2.14-2.23
O 0.8719 0.0000 0.5000  2 Tc 2.14, 2 Tm 2.14, 1 O 2.36
Tc 0.0000 0.0000 0.0000  8 O 2.14
Tm 0.7420 0.5000 0.5000  5 O 2.14-2.23
O 0.1281 0.5000 0.0000  2 Tc 2.14, 2 Tm 2.14, 1 O 2.36
O 0.1281 0.0000 0.5000  2 Tc 2.14, 2 Tm 2.14, 1 O 2.36
O 0.8719 0.5000 0.0000  2 Tc 2.14, 2 Tm 2.14, 1 O 2.36
Tc 0.5000 0.0000 0.0000  4 O 2.51
O 0.5000 0.5000 0.5000  2 Tm 2.23

**Crystal system**: tetragonal
**Energy relative to the lowest polymorph listed for this composition**: 223 meV/atom
**VASP energy**: -69.6 eV/cell